A geometry-optimized SmSb2Rh4 structure. Source: Alexandria via LeMat-Bulk, functional GGA-PBE.

```
data_SmSb2Rh4
_cell_length_a 17.032
_cell_length_b 4.361
_cell_length_c 7.174
_cell_angle_alpha 90.00
_cell_angle_beta 90.00
_cell_angle_gamma 90.00
_symmetry_space_group_name_H-M 'P n m a'
_symmetry_Int_Tables_number 62
loop_
_symmetry_equiv_pos_as_xyz
'x,y,z'
'-x,-y,-z'
'-x+1/2,-y,z+1/2'
'x+1/2,y,-z+1/2'
'x+1/2,-y+1/2,-z+1/2'
'-x+1/2,y+1/2,z+1/2'
'-x,y+1/2,-z'
'x,-y+1/2,z'
loop_
_atom_site_label
_atom_site_fract_x
_atom_site_fract_y
_atom_site_fract_z
_atom_site_occupancy
Sm1 0.144 0.250 0.035 1
Sb1 0.032 0.750 0.254 1
Sb2 0.206 0.250 0.589 1
Rh1 0.035 0.750 0.885 1
Rh2 0.062 0.250 0.460 1
Rh3 0.180 0.750 0.372 1
Rh4 0.210 0.750 0.785 1
```

calculated density: 10.04 g cm⁻³
total energy: -6.64 eV/atom


A geometry-optimized Sm8SbRh2 structure. Source: Alexandria via LeMat-Bulk, functional GGA-PBE.

```
data_Sm8SbRh2
_cell_length_a 8.688
_cell_length_b 13.575
_cell_length_c 5.648
_cell_angle_alpha 90.00
_cell_angle_beta 104.49
_cell_angle_gamma 90.00
_symmetry_space_group_name_H-M 'C 1 2/m 1'
_symmetry_Int_Tables_number 12
loop_
_symmetry_equiv_pos_as_xyz
'x,y,z'
'-x,-y,-z'
'-x,y,-z'
'x,-y,z'
'x+1/2,y+1/2,z'
'-x+1/2,-y+1/2,-z'
'-x+1/2,y+1/2,-z'
'x+1/2,-y+1/2,z'
loop_
_atom_site_label
_atom_site_fract_x
_atom_site_fract_y
_atom_site_fract_z
_atom_site_occupancy
Sm1 0.000 0.245 0.000 1
Sm2 0.108 0.500 0.805 1
Sm3 0.205 0.126 0.574 1
Sb1 0.000 0.000 0.000 1
Rh1 0.000 0.298 0.500 1
```

calculated density: 7.88 g cm⁻³
total energy: -5.56 eV/atom


A geometry-optimized Sm12Sb6Rh structure. Source: Alexandria via LeMat-Bulk, functional GGA-PBE.

```
data_Sm12Sb6Rh
_cell_length_a 13.3370
_cell_length_b 13.3370
_cell_length_c 12.3547
_cell_angle_alpha 90.00
_cell_angle_beta 90.00
_cell_angle_gamma 120.00
_symmetry_space_group_name_H-M 'R -3'
_symmetry_Int_Tables_number 148
_symmetry_space_group_name_Hall '-R 3'
loop_
_atom_site_label
_atom_site_fract_x
_atom_site_fract_y
_atom_site_fract_z
_atom_site_occupancy
Sm1 0.0297 0.1945 0.3882 1
Sm2 0.0617 0.1960 0.8805 1
Sb1 0.0459 0.2828 0.6405 1
Rh1 0.0000 0.0000 0.0000 1
```

calculated density: 6.90 g cm⁻³
total energy: -5.37 eV/atom


A geometry-optimized SmSb6Rh12 structure. Source: Alexandria via LeMat-Bulk, functional GGA-PBE.

```
data_SmSb6Rh12
_cell_length_a 12.0421
_cell_length_b 12.0421
_cell_length_c 8.4395
_cell_angle_alpha 90.00
_cell_angle_beta 90.00
_cell_angle_gamma 120.00
_symmetry_space_group_name_H-M 'R -3 m'
_symmetry_Int_Tables_number 166
_symmetry_space_group_name_Hall '-R 3 2"'
loop_
_atom_site_label
_atom_site_fract_x
_atom_site_fract_y
_atom_site_fract_z
_atom_site_occupancy
Sm1 0.0000 0.0000 0.0000 1
Sb1 0.0422 0.5211 0.2536 1
Rh1 0.0000 0.3773 0.5000 1
Rh2 0.0774 0.1547 0.3205 1
```

calculated density: 9.94 g cm⁻³
total energy: -6.49 eV/atom


A geometry-optimized Sm2Sb4Rh5 structure. Source: Alexandria via LeMat-Bulk, functional GGA-PBE.

```
data_Sm2Sb4Rh5
_cell_length_a 5.769
_cell_length_b 10.153
_cell_length_c 16.018
_cell_angle_alpha 90.00
_cell_angle_beta 90.00
_cell_angle_gamma 90.00
_symmetry_space_group_name_H-M 'F m m m'
_symmetry_Int_Tables_number 69
_symmetry_space_group_name_Hall '-F 2 2'
loop_
_atom_site_label
_atom_site_fract_x
_atom_site_fract_y
_atom_site_fract_z
_atom_site_occupancy
Sm1 0.000 0.000 0.126 1
Sb1 0.000 0.158 0.371 1
Rh1 0.000 0.000 0.500 1
Rh2 0.250 0.250 0.000 1
Rh3 0.250 0.250 0.250 1
```

calculated density: 9.22 g cm⁻³
total energy: -6.30 eV/atom


A geometry-optimized Sm3Sb4Rh8 structure. Source: Alexandria via LeMat-Bulk, functional GGA-PBE.

```
data_Sm3Sb4Rh8
_cell_length_a 13.107
_cell_length_b 13.107
_cell_length_c 13.107
_cell_angle_alpha 90.00
_cell_angle_beta 90.00
_cell_angle_gamma 90.00
_symmetry_space_group_name_H-M 'F m -3 m'
_symmetry_Int_Tables_number 225
_symmetry_space_group_name_Hall '-F 4 2 3'
loop_
_atom_site_label
_atom_site_fract_x
_atom_site_fract_y
_atom_site_fract_z
_atom_site_occupancy
Sm1 0.000 0.000 0.228 1
Sb1 0.000 0.000 0.000 1
Sb2 0.000 0.000 0.500 1
Sb3 0.000 0.250 0.250 1
Rh1 0.121 0.121 0.379 1
Rh2 0.167 0.167 0.167 1
```

calculated density: 10.39 g cm⁻³
total energy: -6.67 eV/atom


A geometry-optimized Sm2SbRh3 structure. Source: Alexandria via LeMat-Bulk, functional GGA-PBE.

```
data_Sm2SbRh3
_cell_length_a 5.7386
_cell_length_b 5.7386
_cell_length_c 12.5000
_cell_angle_alpha 90.00
_cell_angle_beta 90.00
_cell_angle_gamma 120.00
_symmetry_space_group_name_H-M 'R -3 m'
_symmetry_Int_Tables_number 166
_symmetry_space_group_name_Hall '-R 3 2"'
loop_
_atom_site_label
_atom_site_fract_x
_atom_site_fract_y
_atom_site_fract_z
_atom_site_occupancy
Sm1 0.0000 0.0000 0.1262 1
Sb1 0.0000 0.0000 0.5000 1
Rh1 0.0000 0.5000 0.0000 1
```

calculated density: 10.22 g cm⁻³
total energy: -6.75 eV/atom


A geometry-optimized SmSb2Rh structure. Source: Alexandria via LeMat-Bulk, functional GGA-PBE.

```
data_SmSb2Rh
_cell_length_a 3.4936
_cell_length_b 3.4936
_cell_length_c 29.7236
_cell_angle_alpha 90.00
_cell_angle_beta 90.00
_cell_angle_gamma 120.00
_symmetry_space_group_name_H-M 'R -3 m'
_symmetry_Int_Tables_number 166
_symmetry_space_group_name_Hall '-R 3 2"'
loop_
_atom_site_label
_atom_site_fract_x
_atom_site_fract_y
_atom_site_fract_z
_atom_site_occupancy
Sm1 0.0000 0.0000 0.0000 1
Sb1 0.0000 0.0000 0.1060 1
Rh1 0.0000 0.0000 0.5000 1
```

calculated density: 7.88 g cm⁻³
total energy: -5.27 eV/atom


A geometry-optimized Sm3Sb2Rh structure. Source: Alexandria via LeMat-Bulk, functional GGA-PBE.

```
data_Sm3Sb2Rh
_cell_length_a 12.148
_cell_length_b 4.472
_cell_length_c 12.067
_cell_angle_alpha 90.00
_cell_angle_beta 90.00
_cell_angle_gamma 90.00
_symmetry_space_group_name_H-M 'P n m a'
_symmetry_Int_Tables_number 62
loop_
_symmetry_equiv_pos_as_xyz
'x,y,z'
'-x,-y,-z'
'-x+1/2,-y,z+1/2'
'x+1/2,y,-z+1/2'
'x+1/2,-y+1/2,-z+1/2'
'-x+1/2,y+1/2,z+1/2'
'-x,y+1/2,-z'
'x,-y+1/2,z'
loop_
_atom_site_label
_atom_site_fract_x
_atom_site_fract_y
_atom_site_fract_z
_atom_site_occupancy
Sm1 0.053 0.250 0.129 1
Sm2 0.117 0.750 0.554 1
Sm3 0.231 0.250 0.801 1
Sb1 0.006 0.750 0.308 1
Sb2 0.189 0.750 0.000 1
Rh1 0.126 0.250 0.368 1
```

calculated density: 8.08 g cm⁻³
total energy: -5.97 eV/atom


A geometry-optimized SmSbRh4 structure. Source: Alexandria via LeMat-Bulk, functional GGA-PBE.

```
data_SmSbRh4
_cell_length_a 7.544
_cell_length_b 7.544
_cell_length_c 7.544
_cell_angle_alpha 90.00
_cell_angle_beta 90.00
_cell_angle_gamma 90.00
_symmetry_space_group_name_H-M 'F -4 3 m'
_symmetry_Int_Tables_number 216
_symmetry_space_group_name_Hall 'F -4 2 3'
loop_
_atom_site_label
_atom_site_fract_x
_atom_site_fract_y
_atom_site_fract_z
_atom_site_occupancy
Sm1 0.000 0.000 0.000 1
Sb1 0.250 0.250 0.750 1
Rh1 0.124 0.124 0.376 1
```

calculated density: 10.58 g cm⁻³
total energy: -6.77 eV/atom


A geometry-optimized SmSbRh structure. Source: Alexandria via LeMat-Bulk, functional GGA-PBE.

```
data_SmSbRh
_cell_length_a 7.330
_cell_length_b 4.618
_cell_length_c 7.888
_cell_angle_alpha 90.00
_cell_angle_beta 90.00
_cell_angle_gamma 90.00
_symmetry_space_group_name_H-M 'P n m a'
_symmetry_Int_Tables_number 62
loop_
_symmetry_equiv_pos_as_xyz
'x,y,z'
'-x,-y,-z'
'-x+1/2,-y,z+1/2'
'x+1/2,y,-z+1/2'
'x+1/2,-y+1/2,-z+1/2'
'-x+1/2,y+1/2,z+1/2'
'-x,y+1/2,-z'
'x,-y+1/2,z'
loop_
_atom_site_label
_atom_site_fract_x
_atom_site_fract_y
_atom_site_fract_z
_atom_site_occupancy
Sm1 0.011 0.250 0.199 1
Sb1 0.190 0.250 0.590 1
Rh1 0.196 0.750 0.417 1
```

calculated density: 9.33 g cm⁻³
total energy: -6.40 eV/atom


A geometry-optimized Sm7Sb2Rh2 structure. Source: Alexandria via LeMat-Bulk, functional GGA-PBE.

```
data_Sm7Sb2Rh2
_cell_length_a 8.631
_cell_length_b 10.954
_cell_length_c 7.098
_cell_angle_alpha 90.00
_cell_angle_beta 90.00
_cell_angle_gamma 90.00
_symmetry_space_group_name_H-M 'C m m m'
_symmetry_Int_Tables_number 65
_symmetry_space_group_name_Hall '-C 2 2'
loop_
_atom_site_label
_atom_site_fract_x
_atom_site_fract_y
_atom_site_fract_z
_atom_site_occupancy
Sm1 0.000 0.000 0.000 1
Sm2 0.000 0.500 0.238 1
Sm3 0.250 0.250 0.252 1
Sb1 0.196 0.000 0.500 1
Rh1 0.000 0.278 0.000 1
```

calculated density: 7.43 g cm⁻³
total energy: -5.64 eV/atom


A geometry-optimized SmSb2Rh3 structure. Source: Alexandria via LeMat-Bulk, functional GGA-PBE.

```
data_SmSb2Rh3
_cell_length_a 17.338
_cell_length_b 4.202
_cell_length_c 10.261
_cell_angle_alpha 90.00
_cell_angle_beta 107.22
_cell_angle_gamma 90.00
_symmetry_space_group_name_H-M 'C 1 2/m 1'
_symmetry_Int_Tables_number 12
loop_
_symmetry_equiv_pos_as_xyz
'x,y,z'
'-x,-y,-z'
'-x,y,-z'
'x,-y,z'
'x+1/2,y+1/2,z'
'-x+1/2,-y+1/2,-z'
'-x+1/2,y+1/2,-z'
'x+1/2,-y+1/2,z'
loop_
_atom_site_label
_atom_site_fract_x
_atom_site_fract_y
_atom_site_fract_z
_atom_site_occupancy
Sm1 0.000 0.000 0.000 1
Sm2 0.161 0.000 0.704 1
Sb1 0.040 0.500 0.780 1
Sb2 0.139 0.500 0.457 1
Sb3 0.192 0.000 0.126 1
Rh1 0.000 0.500 0.500 1
Rh2 0.043 0.000 0.331 1
Rh3 0.116 0.500 0.197 1
Rh4 0.181 0.500 0.960 1
Rh5 0.215 0.000 0.391 1
```

calculated density: 9.80 g cm⁻³
total energy: -6.56 eV/atom


A geometry-optimized SmSb4Rh5 structure. Source: Alexandria via LeMat-Bulk, functional GGA-PBE.

```
data_SmSb4Rh5
_cell_length_a 7.716
_cell_length_b 9.231
_cell_length_c 5.748
_cell_angle_alpha 90.00
_cell_angle_beta 90.00
_cell_angle_gamma 90.00
_symmetry_space_group_name_H-M 'P m m n'
_symmetry_Int_Tables_number 59
loop_
_symmetry_equiv_pos_as_xyz
'x,y,z'
'-x,-y,-z'
'-x+1/2,-y+1/2,z'
'x+1/2,y+1/2,-z'
'x+1/2,-y,-z'
'-x+1/2,y,z'
'-x,y+1/2,-z'
'x,-y+1/2,z'
loop_
_atom_site_label
_atom_site_fract_x
_atom_site_fract_y
_atom_site_fract_z
_atom_site_occupancy
Sm1 0.250 0.250 0.004 1
Sb1 0.038 0.250 0.501 1
Sb2 0.250 0.586 0.894 1
Rh1 0.046 0.003 0.254 1
Rh2 0.250 0.750 0.266 1
```

calculated density: 9.35 g cm⁻³
total energy: -6.23 eV/atom


A geometry-optimized SmSbRh4 structure. Source: Alexandria via LeMat-Bulk, functional GGA-PBE.

```
data_SmSbRh4
_cell_length_a 7.664
_cell_length_b 4.083
_cell_length_c 7.037
_cell_angle_alpha 90.00
_cell_angle_beta 90.00
_cell_angle_gamma 90.00
_symmetry_space_group_name_H-M 'P m m a'
_symmetry_Int_Tables_number 51
loop_
_symmetry_equiv_pos_as_xyz
'x,y,z'
'-x,-y,-z'
'-x+1/2,-y,z'
'x+1/2,y,-z'
'x+1/2,-y,-z'
'-x+1/2,y,z'
'-x,y,-z'
'x,-y,z'
loop_
_atom_site_label
_atom_site_fract_x
_atom_site_fract_y
_atom_site_fract_z
_atom_site_occupancy
Sm1 0.250 0.000 0.167 1
Sb1 0.250 0.000 0.737 1
Rh1 0.000 0.000 0.500 1
Rh2 0.041 0.500 0.800 1
Rh3 0.250 0.500 0.455 1
```

calculated density: 10.31 g cm⁻³
total energy: -6.75 eV/atom


A geometry-optimized Sm2SnSb3Rh4 structure. Source: Alexandria via LeMat-Bulk, functional GGA-PBE.

```
data_Sm2SnSb3Rh4
_cell_length_a 4.461
_cell_length_b 4.461
_cell_length_c 10.742
_cell_angle_alpha 90.00
_cell_angle_beta 90.00
_cell_angle_gamma 90.00
_symmetry_space_group_name_H-M 'P -4 m 2'
_symmetry_Int_Tables_number 115
loop_
_symmetry_equiv_pos_as_xyz
'x,y,z'
'y,-x,-z'
'-x,-y,z'
'-y,x,-z'
'-x,y,z'
'-y,-x,-z'
'x,-y,z'
'y,x,-z'
loop_
_atom_site_label
_atom_site_fract_x
_atom_site_fract_y
_atom_site_fract_z
_atom_site_occupancy
Sm1 0.000 0.500 0.245 1
Sn1 0.000 0.000 0.500 1
Sb1 0.000 0.500 0.867 1
Sb2 0.500 0.500 0.500 1
Rh1 0.000 0.000 0.000 1
Rh2 0.000 0.500 0.630 1
Rh3 0.500 0.500 0.000 1
```

calculated density: 9.29 g cm⁻³
total energy: -6.30 eV/atom


A geometry-optimized SmSnSbRh2 structure. Source: Alexandria via LeMat-Bulk, functional GGA-PBE.

```
data_SmSnSbRh2
_cell_length_a 4.450
_cell_length_b 14.250
_cell_length_c 6.960
_cell_angle_alpha 90.00
_cell_angle_beta 90.00
_cell_angle_gamma 90.00
_symmetry_space_group_name_H-M 'C m c m'
_symmetry_Int_Tables_number 63
_symmetry_space_group_name_Hall '-C 2c 2'
loop_
_atom_site_label
_atom_site_fract_x
_atom_site_fract_y
_atom_site_fract_z
_atom_site_occupancy
Sm1 0.000 0.124 0.250 1
Sn1 0.000 0.184 0.750 1
Sb1 0.000 0.500 0.000 1
Rh1 0.000 0.314 0.035 1
```

calculated density: 8.98 g cm⁻³
total energy: -6.16 eV/atom


A geometry-optimized Sm2Sn3SbRh4 structure. Source: Alexandria via LeMat-Bulk, functional GGA-PBE.

```
data_Sm2Sn3SbRh4
_cell_length_a 4.474
_cell_length_b 4.474
_cell_length_c 10.760
_cell_angle_alpha 90.00
_cell_angle_beta 90.00
_cell_angle_gamma 90.00
_symmetry_space_group_name_H-M 'P -4 m 2'
_symmetry_Int_Tables_number 115
loop_
_symmetry_equiv_pos_as_xyz
'x,y,z'
'y,-x,-z'
'-x,-y,z'
'-y,x,-z'
'-x,y,z'
'-y,-x,-z'
'x,-y,z'
'y,x,-z'
loop_
_atom_site_label
_atom_site_fract_x
_atom_site_fract_y
_atom_site_fract_z
_atom_site_occupancy
Sm1 0.000 0.500 0.249 1
Sn1 0.000 0.500 0.869 1
Sn2 0.500 0.500 0.500 1
Sb1 0.000 0.000 0.500 1
Rh1 0.000 0.000 0.000 1
Rh2 0.000 0.500 0.629 1
Rh3 0.500 0.500 0.000 1
```

calculated density: 9.18 g cm⁻³
total energy: -6.20 eV/atom


A geometry-optimized Sr2SmSb3Rh4 structure. Source: Alexandria via LeMat-Bulk, functional GGA-PBE.

```
data_Sr2SmSb3Rh4
_cell_length_a 4.497
_cell_length_b 4.497
_cell_length_c 11.467
_cell_angle_alpha 90.00
_cell_angle_beta 90.00
_cell_angle_gamma 90.00
_symmetry_space_group_name_H-M 'P -4 m 2'
_symmetry_Int_Tables_number 115
loop_
_symmetry_equiv_pos_as_xyz
'x,y,z'
'y,-x,-z'
'-x,-y,z'
'-y,x,-z'
'-x,y,z'
'-y,-x,-z'
'x,-y,z'
'y,x,-z'
loop_
_atom_site_label
_atom_site_fract_x
_atom_site_fract_y
_atom_site_fract_z
_atom_site_occupancy
Sr1 0.000 0.500 0.234 1
Sm1 0.000 0.000 0.500 1
Sb1 0.000 0.500 0.874 1
Sb2 0.500 0.500 0.500 1
Rh1 0.000 0.000 0.000 1
Rh2 0.000 0.500 0.647 1
Rh3 0.500 0.500 0.000 1
```

calculated density: 7.90 g cm⁻³
total energy: -5.75 eV/atom